[1]
Entry from the Alexandria database: a relaxed YTmLuCd crystal (PBE-GGA).

Computed properties:
- formation energy from the elements (eV per atom) = -0.028

Cell lengths 5.3943, 5.3943, 5.3943 Å; angles 60.00, 60.00, 60.00 degrees
Fractional coordinates of all 4 atoms:
Y  0.0000  0.0000  0.0000
Tm  0.5000  0.5000  0.5000
Lu  0.7500  0.7500  0.7500
Cd  0.2500  0.2500  0.2500


[2]
Entry from the Alexandria database: a relaxed BeMoOs2 crystal (PBE-GGA).

Computed properties:
- formation energy from the elements (eV per atom) = 0.011

Cell lengths 2.7623, 2.7623, 6.9098 Å; angles 90.00, 90.00, 90.00 degrees
Fractional coordinates of all 4 atoms:
Be  0.0000  0.0000  0.0000
Mo  0.5000  0.5000  0.2367
Os  0.0000  0.0000  0.5349
Os  0.5000  0.5000  0.7991


[3]
Entry from the Alexandria database: a relaxed Zr2PW crystal (PBE-GGA).

Computed properties:
- formation energy from the elements (eV per atom) = -0.240

Cell lengths 3.2950, 3.2950, 6.8032 Å; angles 90.00, 90.00, 90.00 degrees
Fractional coordinates of all 4 atoms:
Zr  0.0000  0.0000  0.0000
Zr  0.5000  0.5000  0.3122
P  0.0000  0.0000  0.5737
W  0.5000  0.5000  0.7298


[4]
Entry from the Alexandria database: a relaxed SrCaCl2 crystal (PBE-GGA).

Computed properties:
- energy above the most stable polymorph in this dataset (eV per atom) = 0.071

Cell lengths 10.3628, 10.3628, 10.3628 Å; angles 159.02, 158.99, 29.86 degrees
Fractional coordinates of all 4 atoms:
Sr  0.0000  0.0000  0.0000
Ca  0.1744  0.6744  0.5000
Cl  0.4314  0.4314  0.0000
Cl  0.7354  0.2354  0.5000


[5]
Entry from the Alexandria database: a relaxed KLiCo2Cl8 crystal (PBE-GGA).

Computed properties:
- total energy (eV/atom) = -3.624

Cell lengths 9.8839, 9.8839, 9.8839 Å; angles 37.55, 37.55, 37.55 degrees
Fractional coordinates of all 12 atoms:
K  0.0000  0.0000  0.0000
Li  0.5000  0.5000  0.5000
Co  0.2470  0.2470  0.2470
Co  0.7530  0.7530  0.7530
Cl  0.1060  0.4508  0.7727
Cl  0.2273  0.8940  0.5492
Cl  0.3263  0.3263  0.3263
Cl  0.4508  0.7727  0.1060
Cl  0.5492  0.2273  0.8940
Cl  0.6737  0.6737  0.6737
Cl  0.7727  0.1060  0.4508
Cl  0.8940  0.5492  0.2273


[6]
Entry from the Alexandria database: a relaxed NaTaTe2O8 crystal (PBE-GGA).

Computed properties:
- total energy (eV/atom) = -6.327

Cell lengths 6.4399, 6.4399, 5.5281 Å; angles 109.11, 109.11, 51.26 degrees
Fractional coordinates of all 12 atoms:
Na  0.0000  0.0000  0.0000
Ta  0.5000  0.5000  0.5000
Te  0.2232  0.2232  0.6969
Te  0.7768  0.7768  0.3031
O  0.1369  0.6422  0.2620
O  0.1780  0.1780  0.3430
O  0.3578  0.8631  0.7380
O  0.4078  0.4078  0.7309
O  0.5922  0.5922  0.2691
O  0.6422  0.1369  0.2620
O  0.8220  0.8220  0.6570
O  0.8631  0.3578  0.7380


[7]
Entry from the Alexandria database: a relaxed Y6Ho3Er2 crystal (PBE-GGA).

Computed properties:
- formation energy from the elements (eV per atom) = 0.026
- energy above the most stable polymorph in this dataset (eV per atom) = 0.000

Cell lengths 31.8536, 31.8536, 31.8536 Å; angles 6.39, 6.39, 6.39 degrees
Fractional coordinates of all 11 atoms:
Y  0.0909  0.0909  0.0909
Y  0.1820  0.1820  0.1820
Y  0.3636  0.3636  0.3636
Y  0.6364  0.6364  0.6364
Y  0.8180  0.8180  0.8180
Y  0.9091  0.9091  0.9091
Ho  0.0000  0.0000  0.0000
Ho  0.2727  0.2727  0.2727
Ho  0.7273  0.7273  0.7273
Er  0.4545  0.4545  0.4545
Er  0.5455  0.5455  0.5455


[8]
Entry from the Alexandria database: a relaxed GeRuN crystal (PBE-GGA).

Computed properties:
- energy above the most stable polymorph in this dataset (eV per atom) = 0.100

Cell lengths 4.9691, 2.9733, 5.9020 Å; angles 90.00, 114.36, 90.00 degrees
Fractional coordinates of all 6 atoms:
Ge  0.0000  0.0000  0.0000
Ge  0.0941  0.5000  0.5515
Ru  0.3995  0.5000  0.0059
Ru  0.4215  0.0000  0.4232
N  0.5890  0.0000  0.8530
N  0.6787  0.5000  0.3778